Computed, not measured: an optimized crystal structure of Ac2Tb3Nd4 at the PBE level of DFT.

Lattice parameters (Å, degrees): 3.732 3.732 27.519 90.00 90.00 120.00
Fractional coordinates of all 9 atoms:
Ac: 0.000 0.000 0.000
Ac: 0.000 0.000 0.221
Tb: 0.000 0.000 0.779
Tb: 0.333 0.667 0.112
Tb: 0.333 0.667 0.458
Nd: 0.000 0.000 0.356
Nd: 0.000 0.000 0.565
Nd: 0.333 0.667 0.673
Nd: 0.333 0.667 0.883

Values from the calculation:
* crystal system: trigonal
* energy of formation from the pure elements: 0.078 eV per atom

Computed, not measured: an optimized crystal structure of LuGa2Hg at the PBE level of DFT.

Lattice parameters (Å, degrees): 4.393 4.393 4.214 90.00 90.00 90.00
Fractional coordinates of all 4 atoms:
Lu: 0.000 0.000 0.000
Ga: 0.000 0.500 0.500
Ga: 0.500 0.000 0.500
Hg: 0.500 0.500 0.000

Values from the calculation:
* crystal system: tetragonal
* energy of formation from the pure elements: -0.378 eV per atom